# 1
DFT (GGA-PBE) results for CaLa2As after structural relaxation.

Cell and atoms, written as POSCAR:
```
CaLa2As
1.0
9.242 0.000 0.000
0.000 9.242 0.000
4.621 4.621 3.203
As La Ca
2 4 2
Direct
0.750 0.250 0.500
0.000 0.000 0.000
0.058 0.625 0.250
0.375 0.308 0.750
0.875 0.942 0.750
0.692 0.125 0.250
0.500 0.500 0.000
0.250 0.750 0.500
```

Computed properties:
The calculation puts the formation energy at -0.4451 eV per atom. As for the crystal system: tetragonal. Its density of states at the Fermi level is 12.04 states/eV per cell. The total energy is -4.572 eV per atom.

# 2
DFT (GGA-PBE) results for NdMgBi2 after structural relaxation.

Cell and atoms, written as POSCAR:
```
NdMgBi2
1.0
-0.951 4.382 1.146
-2.061 2.796 -3.058
-7.307 0.392 1.783
Bi Nd Mg
2 1 1
Direct
0.247 0.247 0.259
0.088 0.088 0.735
0.668 0.668 0.995
0.496 0.496 0.511
```

Computed properties:
The calculation puts the formation energy at -0.4298 eV per atom. As for the crystal system: trigonal. Its density of states at the Fermi level is 1.66 states/eV per cell. The total energy is -3.961 eV per atom. The calculation puts the energy above the most stable polymorph in this dataset at 109 meV per atom.

# 3
DFT (GGA-PBE) results for LaAsSN2 after structural relaxation.

Cell and atoms, written as POSCAR:
```
LaAsSN2
1.0
-0.548 -1.579 -3.837
-0.968 -3.715 1.667
-5.873 1.610 0.177
N S As La
2 1 1 1
Direct
0.000 0.500 0.000
0.500 0.000 0.000
0.000 0.000 0.500
0.500 0.500 0.500
0.000 0.000 0.000
```

Computed properties:
The value obtained for the raw formation energy is 0.981 eV per atom. As for the crystal system: tetragonal. Its density of states at the Fermi level is 3.49 states/eV per cell. The total energy is -5.090 eV per atom. The calculation puts the energy above the most stable polymorph in this dataset at 1017 meV per atom.

# 4
DFT (GGA-PBE) results for NaZrAsS2 after structural relaxation.

Cell and atoms, written as POSCAR:
```
NaZrAsS2
1.0
-4.608 -2.000 0.371
2.089 -4.819 -0.041
0.356 0.112 5.023
Zr S Na As
1 2 1 1
Direct
0.000 0.000 0.000
0.000 0.000 0.500
0.500 0.000 0.000
0.500 0.500 0.500
0.000 0.500 0.000
```

Computed properties:
The value obtained for the raw formation energy is -0.648 eV per atom. As for the crystal system: tetragonal. Its density of states at the Fermi level is 4.25 states/eV per cell. The total energy is -5.202 eV per atom.

# 5
DFT (GGA-PBE) results for TlTe2Au after structural relaxation.

Cell and atoms, written as POSCAR:
```
TlTe2Au
1.0
-1.657 4.137 -1.354
-1.520 -4.172 -1.406
-5.433 -0.130 6.255
Tl Te Au
1 2 1
Direct
0.500 0.500 0.250
0.000 0.000 0.958
0.000 0.000 0.542
0.500 0.500 0.750
```

Computed properties:
The value obtained for the raw formation energy is 0.009 eV per atom. As for the crystal system: orthorhombic. Its density of states at the Fermi level is 2.42 states/eV per cell. The total energy is -2.973 eV per atom.

# 6
DFT (GGA-PBE) results for NaMgAs2Se after structural relaxation.

Cell and atoms, written as POSCAR:
```
NaMgAs2Se
1.0
5.026 0.000 0.000
0.000 5.026 0.000
0.000 0.000 5.248
As Na Mg Se
2 1 1 1
Direct
0.500 0.000 0.000
0.000 0.500 0.000
0.500 0.500 0.500
0.000 0.000 0.000
0.000 0.000 0.500
```

Computed properties:
The value obtained for the raw formation energy is 0.111 eV per atom. As for the crystal system: tetragonal. Its density of states at the Fermi level is 3.93 states/eV per cell. The total energy is -3.029 eV per atom. The calculation puts the energy above the most stable polymorph in this dataset at 0 meV per atom.

- What is the formula in the second record?
  NdMgBi2